[1]
Material: Dy2YZr
Method: DFT, PBE
State: optimized geometry

Summary:
- Energy relative to the elements: 0.34 eV/f.u.
- Spin magnetization: 0.00 μB per formula unit
- Calculated total energy: -23.88 eV/f.u.
- Offset from the most stable computed form: 0.006 eV/atom

Geometry as POSCAR:
```
Dy2YZr
1.0
-2.4477 2.2565 0.8860
-3.2258 -1.0817 0.5405
0.5065 -1.2985 11.4035
Zr Dy Y
1 2 1
Direct
0.0000 0.0000 0.0000
0.7449 0.7449 0.7654
0.2551 0.2551 0.2346
0.5000 0.5000 0.5000
```

[2]
Material: Nd2Ag2Hg
Method: DFT, PBE
State: optimized geometry

Summary:
- Energy relative to the elements: -1.40 eV/f.u.
- Spin magnetization: 0.00 μB per formula unit
- Calculated total energy: -16.94 eV/f.u.

Geometry as POSCAR:
```
Nd2Ag2Hg
1.0
4.7423 0.0000 0.0000
2.3711 5.5913 -0.6835
2.3711 -0.3662 9.8706
Nd Ag Hg
4 4 2
Direct
0.0831 0.7348 0.0990
0.9169 0.2652 0.9010
0.6816 0.2926 0.3442
0.3184 0.7074 0.6558
0.6501 0.8159 0.8838
0.0594 0.3076 0.5735
0.9406 0.6924 0.4265
0.3499 0.1841 0.1162
0.6009 0.1246 0.6735
0.3991 0.8754 0.3265
```

- Which of these has the lowest energy relative to the elements?
  Nd2Ag2Hg